No. 1
Computed, not measured: a geometry-optimized PmTm5Ru4 structure at the PBE level of DFT.

Lattice parameters (Å, degrees): 3.372 3.372 19.003 90.00 90.00 90.00
Positions (direct):
Pm (0.000, 0.000, 0.000)
Tm (0.500, 0.500, 0.150)
Tm (0.500, 0.500, 0.325)
Tm (0.500, 0.500, 0.500)
Tm (0.500, 0.500, 0.675)
Tm (0.500, 0.500, 0.850)
Ru (0.000, 0.000, 0.231)
Ru (0.000, 0.000, 0.412)
Ru (0.000, 0.000, 0.588)
Ru (0.000, 0.000, 0.769)


No. 2
Computed, not measured: a geometry-optimized PmTm3Ru2 structure at the PBE level of DFT.

Values from the calculation:
Excess energy over the best structure of this formula in the dataset, eV per atom: 0.152

Lattice parameters (Å, degrees): 6.638 6.638 3.961 90.00 90.00 120.00
Positions (direct):
Pm (0.000, 0.000, 0.000)
Tm (0.000, 0.500, 0.500)
Tm (0.500, 0.000, 0.500)
Tm (0.500, 0.500, 0.500)
Ru (0.333, 0.667, 0.000)
Ru (0.667, 0.333, 0.000)


No. 3
Computed, not measured: a geometry-optimized PmTm6Ru5 structure at the PBE level of DFT.

Lattice parameters (Å, degrees): 7.765 7.765 7.765 142.38 115.33 77.30
Positions (direct):
Pm (0.000, 0.000, 0.000)
Tm (0.121, 0.814, 0.307)
Tm (0.300, 0.500, 0.800)
Tm (0.492, 0.186, 0.307)
Tm (0.508, 0.814, 0.693)
Tm (0.700, 0.500, 0.200)
Tm (0.879, 0.186, 0.693)
Ru (0.128, 0.628, 0.500)
Ru (0.302, 0.302, 0.000)
Ru (0.500, 0.000, 0.500)
Ru (0.698, 0.698, 0.000)
Ru (0.872, 0.372, 0.500)


No. 4
Computed, not measured: a geometry-optimized PmTmRu structure at the PBE level of DFT.

Values from the calculation:
Excess energy over the best structure of this formula in the dataset, eV per atom: 0.102

Lattice parameters (Å, degrees): 3.511 15.934 5.266 90.00 90.00 90.00
Positions (direct):
Pm (0.000, 0.072, 0.250)
Pm (0.000, 0.928, 0.750)
Pm (0.500, 0.428, 0.750)
Pm (0.500, 0.572, 0.250)
Tm (0.000, 0.211, 0.750)
Tm (0.000, 0.789, 0.250)
Tm (0.500, 0.289, 0.250)
Tm (0.500, 0.711, 0.750)
Ru (0.000, 0.422, 0.250)
Ru (0.000, 0.578, 0.750)
Ru (0.500, 0.078, 0.750)
Ru (0.500, 0.922, 0.250)


No. 5
Computed, not measured: a geometry-optimized PmTm5Ru3 structure at the PBE level of DFT.

Lattice parameters (Å, degrees): 7.568 7.568 9.903 108.20 108.20 71.89
Positions (direct):
Pm (0.108, 0.108, 0.303)
Pm (0.892, 0.892, 0.697)
Tm (0.038, 0.639, 0.327)
Tm (0.233, 0.233, 0.032)
Tm (0.304, 0.696, 0.000)
Tm (0.361, 0.962, 0.673)
Tm (0.426, 0.426, 0.628)
Tm (0.574, 0.574, 0.372)
Tm (0.639, 0.038, 0.327)
Tm (0.696, 0.304, 0.000)
Tm (0.767, 0.767, 0.968)
Tm (0.962, 0.361, 0.673)
Ru (0.000, 0.000, 0.000)
Ru (0.000, 0.000, 0.500)
Ru (0.331, 0.331, 0.832)
Ru (0.342, 0.342, 0.328)
Ru (0.658, 0.658, 0.672)
Ru (0.669, 0.669, 0.168)


No. 6
Computed, not measured: a geometry-optimized Pm5Tm2Ru4 structure at the PBE level of DFT.

Lattice parameters (Å, degrees): 11.719 11.719 6.994 107.19 107.19 19.09
Positions (direct):
Pm (0.000, 0.000, 0.000)
Pm (0.371, 0.371, 0.608)
Pm (0.380, 0.380, 0.133)
Pm (0.620, 0.620, 0.867)
Pm (0.629, 0.629, 0.392)
Tm (0.235, 0.235, 0.761)
Tm (0.765, 0.765, 0.239)
Ru (0.063, 0.063, 0.564)
Ru (0.496, 0.496, 0.677)
Ru (0.504, 0.504, 0.323)
Ru (0.937, 0.937, 0.436)


Calculated values (eV/cell) of DFT total energy for the records, taken in order: -67.9, -37.9, -81.3, -76.3, -113.9, -68.9.
Calculated values (eV per atom) of formation enthalpy at 0 K for the records, taken in order: -0.368, -0.200, -0.278, -0.194, -0.225, 0.082.
Calculated values (states/eV/cell) of D(E_F) for the records, taken in order: 9.132, 5.025, 8.355, 10.936, 5.263, 13.496.